*a*
A relaxed Fe2AgH2 crystal, computed with PBE.

Lattice parameters (Å, degrees): 6.0290 6.0290 2.6339 90.00 90.00 90.00
Last column: nearest neighbours and their distance in Å.
Space group P4/mbm (No. 127)
Inequivalent atoms, fractional coordinates:
Fe (0.1319, 0.3681, 0.0000) [4 per cell]  4 H 1.96
Ag (0.0000, 0.0000, 0.5000) [2 per cell]  4 H 2.45, 2 Ag 2.63, 8 Fe 2.70
H (0.1089, 0.6089, 0.5000) [4 per cell]  1 H 1.86, 4 Fe 1.96

Properties
The volume comes out at 9.6 A^3/atom.

=====

*b*
A relaxed Fe2AgH2 crystal, computed with PBE.

Lattice parameters (Å, degrees): 3.4202 3.4202 8.8826 90.00 90.00 90.00
Last column: nearest neighbours and their distance in Å.
Space group I4/mmm (No. 139)
Inequivalent atoms, fractional coordinates:
Fe (0.0000, 0.5000, 0.2500) [4 per cell]  4 H 1.82
Ag (0.0000, 0.0000, 0.0000) [2 per cell]  8 Fe 2.80, 10 H 2.85-2.89
H (0.0000, 0.0000, 0.3214) [4 per cell]  4 Fe 1.82

Properties
The volume comes out at 10.4 A^3/atom.

=====

Relative energy table, unit meV/atom: *a* 227; *b* 0

=====

*a*
A relaxed FeAgH2 crystal, computed with PBE.

Lattice parameters (Å, degrees): 2.7807 2.7807 15.7791 90.00 90.00 120.00
Last column: nearest neighbours and their distance in Å.
Space group R3m (No. 160, hexagonal axes)
Inequivalent atoms, fractional coordinates:
Fe (0.0000, 0.0000, 0.0000) [3 per cell]  6 H 1.73-1.76
Ag (0.0000, 0.0000, 0.8256) [3 per cell]  6 H 2.45-2.58
H (0.0000, 0.0000, 0.3749) [3 per cell]  3 Fe 1.73
H (0.0000, 0.0000, 0.6203) [3 per cell]  3 Fe 1.76

Properties
The volume comes out at 8.8 A^3/atom.

=====

*b*
A relaxed FeAgH2 crystal, computed with PBE.

Lattice parameters (Å, degrees): 2.8149 2.8149 15.4675 90.00 90.00 120.00
Last column: nearest neighbours and their distance in Å.
Space group R-3m (No. 166, hexagonal axes)
Inequivalent atoms, fractional coordinates:
Fe (0.0000, 0.0000, 0.0000) [3 per cell]  6 H 1.74
Ag (0.0000, 0.0000, 0.5000) [3 per cell]  2 H 1.95
H (0.0000, 0.0000, 0.3737) [6 per cell]  3 Fe 1.74

Properties
The volume comes out at 8.8 A^3/atom.

=====

Relative energy table, unit meV/atom: *a* 23; *b* 0

=====

*a*
A relaxed FeAgH2 crystal, computed with PBE.

Lattice parameters (Å, degrees): 4.2979 4.2979 8.1589 90.00 90.00 90.00
Last column: nearest neighbours and their distance in Å.
Space group I-42d (No. 122)
Inequivalent atoms, fractional coordinates:
Fe (0.0000, 0.0000, 0.0000) [4 per cell]  4 H 1.69
Ag (0.0000, 0.0000, 0.5000) [4 per cell]  4 H 2.00
H (0.1885, 0.2500, 0.1250) [8 per cell]  2 Fe 1.69

Properties
The volume comes out at 9.4 A^3/atom.

=====

*b*
A relaxed FeAgH2 crystal, computed with PBE.

Lattice parameters (Å, degrees): 5.3141 5.3141 5.3141 90.00 90.00 90.00
Last column: nearest neighbours and their distance in Å.
Space group Fm-3m (No. 225)
Inequivalent atoms, fractional coordinates:
Fe (0.0000, 0.0000, 0.0000) [4 per cell]  8 H 2.30
Ag (0.0000, 0.0000, 0.5000) [4 per cell]  8 H 2.30
H (0.2500, 0.2500, 0.2500) [8 per cell]  4 Fe 2.30, 4 Ag 2.30

Properties
The volume comes out at 9.4 A^3/atom.

=====

Relative energy table, unit meV/atom: *a* 0; *b* 439

=====

*a*
A relaxed Fe2AgHN crystal, computed with PBE.

Lattice parameters (Å, degrees): 4.9672 4.9672 3.7882 90.00 90.00 90.00
Last column: nearest neighbours and their distance in Å.
Space group P4/mmm (No. 123)
Inequivalent atoms, fractional coordinates:
Fe (0.0000, 0.5000, 0.0000) [2 per cell]  2 Ag 2.48
Ag (0.0000, 0.0000, 0.0000) [1 per cell]  2 N 1.89
H (0.5000, 0.5000, 0.5000) [1 per cell]  8 Fe 3.12
N (0.0000, 0.0000, 0.5000) [1 per cell]  2 Ag 1.89

Properties
The volume comes out at 18.7 A^3/atom.

=====

*b*
A relaxed Fe2AgHN crystal, computed with PBE.

Lattice parameters (Å, degrees): 3.5586 3.5586 4.2431 90.00 90.00 90.00
Last column: nearest neighbours and their distance in Å.
Space group P4/mmm (No. 123)
Inequivalent atoms, fractional coordinates:
Fe (0.0000, 0.5000, 0.0000) [2 per cell]  2 H 1.78
Ag (0.0000, 0.0000, 0.5000) [1 per cell]  2 H 2.12
H (0.0000, 0.0000, 0.0000) [1 per cell]  4 Fe 1.78
N (0.5000, 0.5000, 0.5000) [1 per cell]  4 Ag 2.52, 8 Fe 2.77

Properties
The volume comes out at 10.7 A^3/atom.

=====

Relative energy table, unit meV/atom: *a* 1175; *b* 0

=====

*a*
A relaxed Fe2AgHPt crystal, computed with PBE.

Lattice parameters (Å, degrees): 3.8506 3.8506 4.0487 90.00 90.00 90.00
Last column: nearest neighbours and their distance in Å.
Space group P4/mmm (No. 123)
Inequivalent atoms, fractional coordinates:
Fe (0.0000, 0.5000, 0.0000) [2 per cell]  2 H 1.93
Ag (0.0000, 0.0000, 0.5000) [1 per cell]  2 H 2.02
H (0.0000, 0.0000, 0.0000) [1 per cell]  4 Fe 1.93, 2 Ag 2.02
Pt (0.5000, 0.5000, 0.5000) [1 per cell]  4 Ag 2.72, 8 Fe 2.79

Properties
The volume comes out at 12.0 A^3/atom.

=====

*b*
A relaxed Fe2AgHPt crystal, computed with PBE.

Lattice parameters (Å, degrees): 3.9419 3.9419 3.8720 90.00 90.00 90.00
Last column: nearest neighbours and their distance in Å.
Space group P4/mmm (No. 123)
Inequivalent atoms, fractional coordinates:
Fe (0.0000, 0.5000, 0.0000) [2 per cell]  2 H 1.97
Ag (0.0000, 0.0000, 0.5000) [1 per cell]  8 Fe 2.76, 4 Pt 2.79
H (0.5000, 0.5000, 0.0000) [1 per cell]  2 Pt 1.94, 4 Fe 1.97
Pt (0.5000, 0.5000, 0.5000) [1 per cell]  2 H 1.94

Properties
The volume comes out at 12.0 A^3/atom.

=====

Relative energy table, unit meV/atom: *a* 52; *b* 0

=====

*a*
A relaxed HfFeAg2 crystal, computed with PBE.

Lattice parameters (Å, degrees): 6.4648 6.4648 6.4648 90.00 90.00 90.00
Last column: nearest neighbours and their distance in Å.
Space group Fm-3m (No. 225)
Inequivalent atoms, fractional coordinates:
Hf (0.0000, 0.0000, 0.0000) [4 per cell]  8 Ag 2.80
Fe (0.0000, 0.0000, 0.5000) [4 per cell]  8 Ag 2.80
Ag (0.2500, 0.2500, 0.2500) [8 per cell]  4 Hf 2.80, 4 Fe 2.80

Properties
The volume comes out at 16.9 A^3/atom.

=====

*b*
A relaxed HfFeAg2 crystal, computed with PBE.

Lattice parameters (Å, degrees): 3.7688 3.7688 20.3384 90.00 90.00 90.00
Last column: nearest neighbours and their distance in Å.
Space group I-42d (No. 122)
Inequivalent atoms, fractional coordinates:
Hf (0.0000, 0.0000, 0.0000) [4 per cell]  4 Fe 2.66, 4 Ag 2.88
Fe (0.0000, 0.0000, 0.5000) [4 per cell]  4 Hf 2.66, 4 Ag 2.86
Ag (0.2412, 0.2500, 0.6250) [8 per cell]  4 Ag 2.62-2.71, 2 Fe 2.86, 2 Hf 2.88

Properties
The volume comes out at 18.1 A^3/atom.

=====

Relative energy table, unit meV/atom: *a* 38; *b* 0

=====

*a*
A relaxed HfFeAg3 crystal, computed with PBE.

Lattice parameters (Å, degrees): 5.1654 5.1654 5.1654 90.00 90.00 90.00
Last column: nearest neighbours and their distance in Å.
Space group Pm-3m (No. 221)
Inequivalent atoms, fractional coordinates:
Hf (0.0000, 0.0000, 0.0000) [1 per cell]  6 Ag 2.58
Fe (0.5000, 0.5000, 0.5000) [1 per cell]  12 Ag 3.65
Ag (0.0000, 0.0000, 0.5000) [3 per cell]  2 Hf 2.58

Properties
The volume comes out at 27.6 A^3/atom.

=====

*b*
A relaxed HfFeAg3 crystal, computed with PBE.

Lattice parameters (Å, degrees): 4.7368 4.7368 4.7368 90.00 90.00 90.00
Last column: nearest neighbours and their distance in Å.
Space group Pm-3m (No. 221)
Inequivalent atoms, fractional coordinates:
Hf (0.0000, 0.0000, 0.0000) [1 per cell]  12 Ag 3.35
Fe (0.5000, 0.5000, 0.5000) [1 per cell]  6 Ag 2.37
Ag (0.0000, 0.5000, 0.5000) [3 per cell]  2 Fe 2.37

Properties
The volume comes out at 21.3 A^3/atom.

=====

Relative energy table, unit meV/atom: *a* 623; *b* 0

=====

*a*
A relaxed HfFe3Ag crystal, computed with PBE.

Lattice parameters (Å, degrees): 4.4973 4.4973 4.4973 90.00 90.00 90.00
Last column: nearest neighbours and their distance in Å.
Space group Pm-3m (No. 221)
Inequivalent atoms, fractional coordinates:
Hf (0.0000, 0.0000, 0.0000) [1 per cell]  12 Fe 3.18
Fe (0.0000, 0.5000, 0.5000) [3 per cell]  2 Ag 2.25
Ag (0.5000, 0.5000, 0.5000) [1 per cell]  6 Fe 2.25

Properties
The volume comes out at 18.2 A^3/atom.

=====

*b*
A relaxed HfFe3Ag crystal, computed with PBE.

Lattice parameters (Å, degrees): 4.5669 4.5669 4.5669 90.00 90.00 90.00
Last column: nearest neighbours and their distance in Å.
Space group Pm-3m (No. 221)
Inequivalent atoms, fractional coordinates:
Hf (0.0000, 0.0000, 0.0000) [1 per cell]  6 Fe 2.28
Fe (0.0000, 0.0000, 0.5000) [3 per cell]  2 Hf 2.28
Ag (0.5000, 0.5000, 0.5000) [1 per cell]  12 Fe 3.23

Properties
The volume comes out at 19.0 A^3/atom.

=====

Relative energy table, unit meV/atom: *a* 454; *b* 0

=====

*a*
A relaxed FeAgHg2 crystal, computed with PBE.

Lattice parameters (Å, degrees): 3.0221 2.9805 8.1705 90.00 90.27 90.00
Last column: nearest neighbours and their distance in Å.
Space group P2/m (No. 10)
Inequivalent atoms, fractional coordinates:
Fe (0.0000, 0.0000, 0.0000) [1 per cell]  8 Hg 2.84-2.85, 4 Fe 2.98-3.02
Ag (0.0000, 0.0000, 0.5000) [1 per cell]  4 Ag 2.98-3.02, 8 Hg 3.05-3.06
Hg (0.4993, 0.5000, 0.7684) [2 per cell]  4 Fe 2.84-2.85, 4 Hg 2.98-3.02, 4 Ag 3.05-3.06

Properties
The volume comes out at 18.4 A^3/atom.

=====

*b*
A relaxed FeAgHg2 crystal, computed with PBE.

Lattice parameters (Å, degrees): 4.3937 4.3937 3.8561 90.00 90.00 90.00
Last column: nearest neighbours and their distance in Å.
Space group P4/mmm (No. 123)
Inequivalent atoms, fractional coordinates:
Fe (0.0000, 0.0000, 0.0000) [1 per cell]  8 Hg 2.92, 4 Ag 3.11
Ag (0.5000, 0.5000, 0.0000) [1 per cell]  8 Hg 2.92, 4 Fe 3.11
Hg (0.0000, 0.5000, 0.5000) [2 per cell]  4 Ag 2.92, 4 Fe 2.92, 4 Hg 3.11

Properties
The volume comes out at 18.6 A^3/atom.

=====

*c*
A relaxed FeAgHg2 crystal, computed with PBE.

Lattice parameters (Å, degrees): 4.1471 4.1471 8.7574 90.00 90.00 90.00
Last column: nearest neighbours and their distance in Å.
Space group I-4m2 (No. 119)
Inequivalent atoms, fractional coordinates:
Fe (0.0000, 0.0000, 0.0000) [2 per cell]  8 Hg 2.93-3.02, 4 Ag 3.02
Ag (0.0000, 0.5000, 0.2500) [2 per cell]  8 Hg 2.93-3.02, 4 Fe 3.02
Hg (0.0000, 0.0000, 0.5000) [2 per cell]  4 Fe 2.93, 4 Hg 3.02, 4 Ag 3.02
Hg (0.0000, 0.5000, 0.7500) [2 per cell]  4 Ag 2.93, 4 Hg 3.02, 4 Fe 3.02

Properties
The volume comes out at 18.8 A^3/atom.

=====

Relative energy table, unit meV/atom: *a* 0; *b* 74; *c* 122

=====

*a*
A relaxed FeAgHg2 crystal, computed with PBE.

Lattice parameters (Å, degrees): 6.5102 7.4234 3.0690 90.00 90.00 90.00
Last column: nearest neighbours and their distance in Å.
Space group Cmmm (No. 65)
Inequivalent atoms, fractional coordinates:
Fe (0.0000, 0.0000, 0.0000) [2 per cell]  8 Hg 2.91, 2 Fe 3.07, 2 Ag 3.26
Ag (0.0000, 0.5000, 0.0000) [2 per cell]  8 Hg 2.91, 2 Ag 3.07, 2 Fe 3.26
Hg (0.2500, 0.2500, 0.5000) [4 per cell]  4 Fe 2.91, 4 Ag 2.91, 4 Hg 3.07-3.26

Properties
The volume comes out at 18.5 A^3/atom.

=====

*b*
A relaxed FeAgHg2 crystal, computed with PBE.

Lattice parameters (Å, degrees): 6.7119 6.7119 6.7119 90.00 90.00 90.00
Last column: nearest neighbours and their distance in Å.
Space group F-43m (No. 216)
Inequivalent atoms, fractional coordinates:
Fe (0.0000, 0.0000, 0.0000) [4 per cell]  4 Hg 2.91, 4 Ag 2.91
Ag (0.2500, 0.2500, 0.2500) [4 per cell]  4 Hg 2.91, 4 Fe 2.91
Hg (0.0000, 0.0000, 0.5000) [4 per cell]  4 Hg 2.91, 4 Ag 2.91
Hg (0.2500, 0.2500, 0.7500) [4 per cell]  4 Hg 2.91, 4 Fe 2.91

Properties
The volume comes out at 18.9 A^3/atom.

=====

Relative energy table, unit meV/atom: *a* 0; *b* 105

=====

*a*
A relaxed FeAgI2 crystal, computed with PBE.

Lattice parameters (Å, degrees): 6.4017 6.4017 12.5365 90.00 90.00 90.00
Last column: nearest neighbours and their distance in Å.
Space group I-42d (No. 122)
Inequivalent atoms, fractional coordinates:
Fe (0.0000, 0.0000, 0.0000) [4 per cell]  4 I 2.64
Ag (0.0000, 0.0000, 0.5000) [4 per cell]  4 I 2.87
I (0.2190, 0.2500, 0.1250) [8 per cell]  2 Fe 2.64, 2 Ag 2.87

Properties
The volume comes out at 32.1 A^3/atom.

=====

*b*
A relaxed FeAgI2 crystal, computed with PBE.

Lattice parameters (Å, degrees): 7.1667 7.1667 7.1667 90.00 90.00 90.00
Last column: nearest neighbours and their distance in Å.
Space group Fm-3m (No. 225)
Inequivalent atoms, fractional coordinates:
Fe (0.0000, 0.0000, 0.0000) [4 per cell]  8 I 3.10
Ag (0.0000, 0.0000, 0.5000) [4 per cell]  8 I 3.10
I (0.2500, 0.2500, 0.2500) [8 per cell]  4 Ag 3.10, 4 Fe 3.10

Properties
The volume comes out at 23.0 A^3/atom.

=====

Relative energy table, unit meV/atom: *a* 0; *b* 783

=====

*a*
A relaxed Fe2AgI crystal, computed with PBE.

Lattice parameters (Å, degrees): 6.2365 6.2365 6.2365 90.00 90.00 90.00
Last column: nearest neighbours and their distance in Å.
Space group Fm-3m (No. 225)
Inequivalent atoms, fractional coordinates:
Fe (0.2500, 0.2500, 0.2500) [8 per cell]  4 I 2.70, 4 Ag 2.70
Ag (0.0000, 0.0000, 0.0000) [4 per cell]  8 Fe 2.70
I (0.0000, 0.0000, 0.5000) [4 per cell]  8 Fe 2.70

Properties
The volume comes out at 15.2 A^3/atom.

=====

*b*
A relaxed Fe2AgI crystal, computed with PBE.

Lattice parameters (Å, degrees): 5.7958 5.7958 12.2130 90.00 90.00 90.00
Last column: nearest neighbours and their distance in Å.
Space group I-42d (No. 122)
Inequivalent atoms, fractional coordinates:
Fe (0.2316, 0.2500, 0.1250) [8 per cell]  2 Ag 2.50, 2 I 2.62
Ag (0.0000, 0.0000, 0.0000) [4 per cell]  4 Fe 2.50
I (0.0000, 0.0000, 0.5000) [4 per cell]  4 Fe 2.62

Properties
The volume comes out at 25.6 A^3/atom.

=====

Relative energy table, unit meV/atom: *a* 9; *b* 0